{
  "formula": "Sc2AlMoRu",
  "functional": "GGA-PBE",
  "state": "optimized geometry",
  "e_form_mev_per_atom": 699,
  "n_ef_per_ev_atom": 1.101,
  "lattice": [[4.994, 0.000, 0.000], [0.000, 4.994, 0.000], [0.000, 0.000, 4.600]],
  "species": ["Sc", "Sc", "Al", "Mo", "Ru"],
  "fractional_positions": [[0.000, 0.500, 0.000], [0.500, 0.000, 0.000], [0.000, 0.000, 0.500], [0.500, 0.500, 0.000], [0.500, 0.500, 0.500]]
}


{
  "formula": "Co2Ir2Os",
  "functional": "GGA-PBE",
  "state": "optimized geometry",
  "e_form_mev_per_atom": 308,
  "n_ef_per_ev_atom": 1.205,
  "lattice": [[6.954, 0.000, 0.000], [0.000, 6.954, 0.000], [0.000, 0.000, 2.723]],
  "species": ["Co", "Co", "Co", "Co", "Ir", "Ir", "Ir", "Ir", "Os", "Os"],
  "fractional_positions": [[0.121, 0.379, 0.000], [0.379, 0.879, 0.000], [0.621, 0.121, 0.000], [0.879, 0.621, 0.000], [0.177, 0.677, 0.500], [0.323, 0.177, 0.500], [0.677, 0.823, 0.500], [0.823, 0.323, 0.500], [0.000, 0.000, 0.000], [0.500, 0.500, 0.000]]
}